CoPOs: optimized geometry, GGA-PBE.

## Properties
Space-group type: Pmm2 (25)
Final energy, eV per formula unit: -23.60
Energy of formation, eV per formula unit: 0.144

```
CoPOs
1.0
2.8191 0.0000 0.0000
0.0000 2.7200 0.0000
0.0000 0.0000 5.2578
Co P Os
1 1 1
Cartesian
1.4095 0.0000 2.7983 Co
1.4095 1.3600 1.0730 P
0.0000 1.3600 4.4949 Os
```